Compound: La2CuSi3
Source: Alexandria via LeMat-Bulk
Functional: meta-GGA SCAN
Structure: single point on PBEsol structure

Values from the calculation:
Space-group type   P-6m2, No. 187
V   20.7 A^3/atom
Uncorrected energy   -22.6072 eV/atom

Lattice parameters (Å, degrees): 4.100 4.100 8.521 90.00 90.00 120.00
Atoms (fractional coordinates):
1 La 0.667 0.333 0.753
2 La 0.667 0.333 0.247
3 Cu 0.333 0.667 0.000
4 Si 0.000 0.000 0.500
5 Si 0.333 0.667 0.500
6 Si 0.000 0.000 0.000

---

Compound: LaCu2Si
Source: Alexandria via LeMat-Bulk
Functional: meta-GGA SCAN
Structure: single point on PBEsol structure

Values from the calculation:
Space-group type   R-3m, No. 166
V   17.9 A^3/atom
Uncorrected energy   -21.3172 eV/atom

Lattice parameters (Å, degrees): 4.061 4.061 5.545 68.52 68.52 60.00
Atoms (fractional coordinates):
1 La 0.000 0.000 0.000
2 Si 0.500 0.500 0.500
3 Cu 0.200 0.200 0.399
4 Cu 0.800 0.800 0.601

---

Compound: LaCuSi
Source: Alexandria via LeMat-Bulk
Functional: meta-GGA SCAN
Structure: single point on PBEsol structure

Values from the calculation:
Space-group type   P-6m2, No. 187
V   20.6 A^3/atom
Uncorrected energy   -23.4223 eV/atom

Lattice parameters (Å, degrees): 4.128 4.128 4.191 90.00 90.00 120.00
Atoms (fractional coordinates):
1 La 0.667 0.333 0.000
2 Si 0.333 0.667 0.500
3 Cu 0.000 0.000 0.500

---

Compound: LaCu5Sn
Source: Alexandria via LeMat-Bulk
Functional: meta-GGA SCAN
Structure: single point on PBEsol structure

Values from the calculation:
Space-group type   Pnma, No. 62
ΔH_f (0 K)   -0.279 eV per atom
V   15.6 A^3/atom
Uncorrected energy   -22.4250 eV/atom

Lattice parameters (Å, degrees): 5.023 8.266 10.536 90.00 90.00 90.00
Atoms (fractional coordinates):
1 Cu 0.750 0.581 0.983
2 Cu 0.750 0.081 0.517
3 Cu 0.000 0.070 0.312
4 Cu 0.250 0.919 0.483
5 Cu 0.250 0.322 0.244
6 Cu 0.500 0.570 0.188
7 Cu 0.500 0.430 0.812
8 Cu 0.250 0.065 0.107
9 Cu 0.750 0.678 0.756
10 Cu 0.250 0.565 0.393
11 Cu 0.500 0.930 0.688
12 Cu 0.750 0.935 0.893
13 Cu 0.750 0.435 0.607
14 Cu 0.000 0.570 0.188
15 Cu 0.000 0.930 0.688
16 Cu 0.500 0.070 0.312
17 Cu 0.000 0.430 0.812
18 Cu 0.250 0.419 0.017
19 Cu 0.750 0.178 0.744
20 Cu 0.250 0.822 0.256
21 Sn 0.750 0.360 0.361
22 Sn 0.250 0.140 0.861
23 Sn 0.250 0.640 0.639
24 Sn 0.750 0.860 0.139
25 La 0.250 0.255 0.559
26 La 0.750 0.245 0.059
27 La 0.750 0.745 0.441
28 La 0.250 0.755 0.941

---

Compound: SrLaCu2
Source: Alexandria via LeMat-Bulk
Functional: meta-GGA SCAN
Structure: single point on PBEsol structure

Values from the calculation:
Space-group type   R3m, No. 160
ΔH_f (0 K)   -0.101 eV per atom
V   28.2 A^3/atom
Energy relative to the lowest polymorph listed for this composition   0.000 eV per atom
Uncorrected energy   -24.0457 eV/atom

Lattice parameters (Å, degrees): 4.215 4.215 7.733 74.19 74.19 60.00
Atoms (fractional coordinates):
1 La 0.458 0.458 0.627
2 Sr 0.285 0.285 0.145
3 Cu 0.712 0.712 0.865
4 Cu 0.046 0.046 0.863

---

Compound: SrLaCu2
Source: Alexandria via LeMat-Bulk
Functional: meta-GGA SCAN
Structure: single point on PBEsol structure

Values from the calculation:
Space-group type   Amm2, No. 38
ΔH_f (0 K)   -0.085 eV per atom
V   25.1 A^3/atom
Energy relative to the lowest polymorph listed for this composition   0.016 eV per atom
Uncorrected energy   -24.0301 eV/atom

Lattice parameters (Å, degrees): 4.032 4.481 5.913 90.00 109.93 90.00
Atoms (fractional coordinates):
1 La 0.117 0.000 0.234
2 Cu 0.807 0.000 0.614
3 Cu 0.685 0.500 0.371
4 Sr 0.394 0.500 0.788

---

Compound: SrLaCu2
Source: Alexandria via LeMat-Bulk
Functional: meta-GGA SCAN
Structure: single point on PBEsol structure

Values from the calculation:
Space-group type   P4/mmm, No. 123
ΔH_f (0 K)   -0.074 eV per atom
V   24.4 A^3/atom
Energy relative to the lowest polymorph listed for this composition   0.027 eV per atom
Uncorrected energy   -24.0184 eV/atom

Lattice parameters (Å, degrees): 3.655 3.655 7.306 90.00 90.00 90.00
Atoms (fractional coordinates):
1 Sr 0.500 0.500 0.500
2 Cu 0.000 0.000 0.205
3 Cu 0.000 0.000 0.795
4 La 0.500 0.500 0.000

---

Compound: SrLaCu2
Source: Alexandria via LeMat-Bulk
Functional: meta-GGA SCAN
Structure: single point on PBEsol structure

Values from the calculation:
Space-group type   C2/m, No. 12
ΔH_f (0 K)   0.084 eV per atom
V   27.6 A^3/atom
Energy relative to the lowest polymorph listed for this composition   0.185 eV per atom
Uncorrected energy   -23.8612 eV/atom

Lattice parameters (Å, degrees): 4.218 4.225 7.557 106.14 90.00 119.95
Atoms (fractional coordinates):
1 La 0.000 0.000 0.500
2 Cu 0.743 0.486 0.729
3 Cu 0.257 0.514 0.271
4 Sr 0.500 0.000 0.000

---

Compound: SrLaCu
Source: Alexandria via LeMat-Bulk
Functional: meta-GGA SCAN
Structure: single point on PBEsol structure

Values from the calculation:
Space-group type   I4mm, No. 107
ΔH_f (0 K)   -0.018 eV per atom
V   30.3 A^3/atom
Uncorrected energy   -26.8774 eV/atom

Lattice parameters (Å, degrees): 3.660 3.660 7.265 104.59 104.59 90.00
Atoms (fractional coordinates):
1 Sr 0.635 0.635 0.270
2 Cu 0.989 0.989 0.978
3 La 0.376 0.376 0.752

---

Compound: LaTaCu2
Source: Alexandria via LeMat-Bulk
Functional: meta-GGA SCAN
Structure: single point on PBEsol structure

Values from the calculation:
Space-group type   P4mm, No. 99
ΔH_f (0 K)   0.242 eV per atom
V   17.6 A^3/atom
Uncorrected energy   -34.7801 eV/atom

Lattice parameters (Å, degrees): 3.078 3.078 7.442 90.00 90.00 90.00
Atoms (fractional coordinates):
1 Ta 0.500 0.500 0.814
2 La 0.000 0.000 0.481
3 Cu 0.000 0.000 0.024
4 Cu 0.500 0.500 0.182

---

Compound: La2CuTc
Source: Alexandria via LeMat-Bulk
Functional: meta-GGA SCAN
Structure: single point on PBEsol structure

Values from the calculation:
Space-group type   I-4m2, No. 119
ΔH_f (0 K)   0.273 eV per atom
V   20.7 A^3/atom
Uncorrected energy   -33.8447 eV/atom

Lattice parameters (Å, degrees): 4.306 4.306 5.403 113.48 113.48 90.00
Atoms (fractional coordinates):
1 La 0.000 0.000 0.000
2 La 0.750 0.250 0.500
3 Cu 0.250 0.750 0.500
4 Tc 0.500 0.500 0.000

---

Compound: LaCuTc
Source: Alexandria via LeMat-Bulk
Functional: meta-GGA SCAN
Structure: single point on PBEsol structure

Values from the calculation:
Space-group type   P3m1, No. 156
ΔH_f (0 K)   0.778 eV per atom
V   17.8 A^3/atom
Uncorrected energy   -30.3436 eV/atom

Lattice parameters (Å, degrees): 2.884 2.884 7.423 90.00 90.00 120.00
Atoms (fractional coordinates):
1 Tc 0.667 0.333 0.301
2 La 0.333 0.667 0.667
3 Cu 0.000 0.000 0.033

---

Q: Which of these has the highest uncorrected energy?
A: LaCu2Si